(1)
DFT (PBE-GGA) results for a relaxed NaBi2RhCl crystal.

Cell and atoms, written as extended XYZ:
```
5
Lattice="5.122 0.000 0.000 0.000 6.008 0.000 0.000 0.000 5.122" Properties=species:S:1:pos:R:3 pbc="T T T"
Na 0.000 3.004 0.000
Rh 0.000 0.000 0.000
Bi 0.000 0.000 2.561
Bi 2.561 0.000 0.000
Cl 2.561 3.004 2.561
```

Computed properties:
* magnetic moment: 0.00 μB/f.u.
* ΔE_f (raw): -0.84 eV per formula unit
* density of states at the Fermi level: 3.50 states/eV/f.u.
* calculated total energy: -19.12 eV for the cell shown
* crystal system: tetragonal



(2)
DFT (PBE-GGA) results for a relaxed LaHgP2 crystal.

Cell and atoms, written as extended XYZ:
```
4
Lattice="5.040 0.000 0.000 2.520 4.365 0.000 2.520 1.455 4.115" Properties=species:S:1:pos:R:3 pbc="T T T"
Hg 5.040 2.910 2.058
La 7.560 4.365 3.086
P 0.000 0.000 0.000
P 2.520 1.455 1.029
```

Computed properties:
* DFT formation energy: -149 meV/atom
* magnetic moment: 0.00 μB/f.u.
* density of states at the Fermi level: 3.92 states/eV/f.u.
* calculated total energy: -16.64 eV for the cell shown
* crystal system: cubic